Entry 1:
# RbLi2VCl8, relaxed, DFT GGA-PBE
# M_tot   0.07 μB per cell
# Raw total energy   -44.77 eV for the cell shown
# Raw formation energy   -1.340 eV per atom
data_RbLi2VCl8
_symmetry_space_group_name_H-M 'P -1'
_symmetry_Int_Tables_number 2
_cell_length_a 6.253
_cell_length_b 6.295
_cell_length_c 9.059
_cell_angle_alpha 83.14
_cell_angle_beta 82.07
_cell_angle_gamma 71.59
loop_
_symmetry_equiv_pos_as_xyz
'x,y,z'
'-x,-y,-z'
loop_
_atom_site_label
_atom_site_type_symbol
_atom_site_fract_x
_atom_site_fract_y
_atom_site_fract_z
_atom_site_occupancy
Rb1 Rb 0.000 0.000 0.000 1
Li1 Li 0.495 0.502 0.168 1
V1 V 0.000 0.000 0.500 1
Cl1 Cl 0.188 0.737 0.677 1
Cl2 Cl 0.197 0.225 0.532 1
Cl3 Cl 0.277 0.837 0.315 1
Cl4 Cl 0.322 0.333 0.032 1

Entry 2:
# RbLiV2Cl8, relaxed, DFT GGA-PBE
# M_tot   4.00 μB per cell
# Raw total energy   -52.67 eV for the cell shown
# Raw formation energy   -1.398 eV per atom
data_RbLiV2Cl8
_symmetry_space_group_name_H-M 'P -3'
_symmetry_Int_Tables_number 147
_cell_length_a 6.6032
_cell_length_b 6.6032
_cell_length_c 9.3397
_cell_angle_alpha 90.00
_cell_angle_beta 90.00
_cell_angle_gamma 120.00
loop_
_symmetry_equiv_pos_as_xyz
'x,y,z'
'-x,-y,-z'
'-y,x-y,z'
'y,-x+y,-z'
'-x+y,-x,z'
'x-y,x,-z'
loop_
_atom_site_label
_atom_site_type_symbol
_atom_site_fract_x
_atom_site_fract_y
_atom_site_fract_z
_atom_site_occupancy
Rb1 Rb 0.0000 0.0000 0.0000 1
Li1 Li 0.0000 0.0000 0.5000 1
V1 V 0.3333 0.6667 0.7371 1
Cl1 Cl 0.0238 0.3257 0.6711 1
Cl2 Cl 0.3333 0.6667 0.9757 1

Entry 3:
# RbLiVCl6, relaxed, DFT GGA-PBE
# M_tot   1.00 μB per cell
# Raw total energy   -36.23 eV for the cell shown
# Raw formation energy   -1.461 eV per atom
data_RbLiVCl6
_symmetry_space_group_name_H-M 'P 3 1 2'
_symmetry_Int_Tables_number 149
_cell_length_a 6.4661
_cell_length_b 6.4661
_cell_length_c 7.2798
_cell_angle_alpha 90.00
_cell_angle_beta 90.00
_cell_angle_gamma 120.00
loop_
_symmetry_equiv_pos_as_xyz
'x,y,z'
'-y,x-y,z'
'-x+y,-x,z'
'-y,-x,-z'
'-x+y,y,-z'
'x,x-y,-z'
loop_
_atom_site_label
_atom_site_type_symbol
_atom_site_fract_x
_atom_site_fract_y
_atom_site_fract_z
_atom_site_occupancy
Rb1 Rb 0.0000 0.0000 0.0000 1
Li1 Li 0.3333 0.6667 0.5000 1
V1 V 0.6667 0.3333 0.5000 1
Cl1 Cl 0.3872 0.0272 0.6857 1

Entry 4:
# RbLiWCl6, relaxed, DFT GGA-PBE
# M_tot   4.00 μB per cell
# Raw total energy   -76.99 eV for the cell shown
# Raw formation energy   -1.287 eV per atom
data_RbLiWCl6
_symmetry_space_group_name_H-M 'P -3 1 c'
_symmetry_Int_Tables_number 163
_symmetry_space_group_name_Hall '-P 3 2c'
_cell_length_a 6.5589
_cell_length_b 6.5589
_cell_length_c 14.6776
_cell_angle_alpha 90.00
_cell_angle_beta 90.00
_cell_angle_gamma 120.00
loop_
_atom_site_label
_atom_site_type_symbol
_atom_site_fract_x
_atom_site_fract_y
_atom_site_fract_z
_atom_site_occupancy
Rb1 Rb 0.0000 0.0000 0.0000 1
Li1 Li 0.3333 0.6667 0.2500 1
W1 W 0.3333 0.6667 0.7500 1
Cl1 Cl 0.0227 0.3808 0.6558 1

Entry 5:
# RbLi2WCl8, relaxed, DFT GGA-PBE
# M_tot   1.01 μB per cell
# Raw total energy   -48.02 eV for the cell shown
# Raw formation energy   -1.292 eV per atom
data_RbLi2WCl8
_symmetry_space_group_name_H-M 'P -1'
_symmetry_Int_Tables_number 2
_cell_length_a 6.311
_cell_length_b 6.366
_cell_length_c 9.276
_cell_angle_alpha 88.97
_cell_angle_beta 88.80
_cell_angle_gamma 74.15
loop_
_symmetry_equiv_pos_as_xyz
'x,y,z'
'-x,-y,-z'
loop_
_atom_site_label
_atom_site_type_symbol
_atom_site_fract_x
_atom_site_fract_y
_atom_site_fract_z
_atom_site_occupancy
Rb1 Rb 0.000 0.000 0.000 1
Li1 Li 0.498 0.500 0.161 1
W1 W 0.000 0.000 0.500 1
Cl1 Cl 0.216 0.235 0.504 1
Cl2 Cl 0.221 0.779 0.681 1
Cl3 Cl 0.234 0.795 0.318 1
Cl4 Cl 0.326 0.329 0.004 1

Entry 6:
# Rb2LiYCl6, relaxed, DFT GGA-PBE
# M_tot   0.00 μB per cell
# Raw total energy   -83.22 eV for the cell shown
# Raw formation energy   -2.022 eV per atom
data_Rb2LiYCl6
_symmetry_space_group_name_H-M 'I 4/m m m'
_symmetry_Int_Tables_number 139
_symmetry_space_group_name_Hall '-I 4 2'
_cell_length_a 7.840
_cell_length_b 7.840
_cell_length_c 9.094
_cell_angle_alpha 90.00
_cell_angle_beta 90.00
_cell_angle_gamma 90.00
loop_
_atom_site_label
_atom_site_type_symbol
_atom_site_fract_x
_atom_site_fract_y
_atom_site_fract_z
_atom_site_occupancy
Rb1 Rb 0.000 0.500 0.250 1
Li1 Li 0.000 0.000 0.000 1
Y1 Y 0.000 0.000 0.500 1
Cl1 Cl 0.000 0.000 0.228 1
Cl2 Cl 0.240 0.240 0.500 1

Entry 7:
# RbLiYCl5, relaxed, DFT GGA-PBE
# M_tot   0.00 μB per cell
# Raw total energy   -141.85 eV for the cell shown
# Raw formation energy   -2.110 eV per atom
data_RbLiYCl5
_symmetry_space_group_name_H-M 'C 1 2/c 1'
_symmetry_Int_Tables_number 15
_cell_length_a 9.021
_cell_length_b 12.190
_cell_length_c 10.098
_cell_angle_alpha 90.00
_cell_angle_beta 113.72
_cell_angle_gamma 90.00
loop_
_symmetry_equiv_pos_as_xyz
'x,y,z'
'-x,-y,-z'
'-x,y,-z+1/2'
'x,-y,z+1/2'
'x+1/2,y+1/2,z'
'-x+1/2,-y+1/2,-z'
'-x+1/2,y+1/2,-z+1/2'
'x+1/2,-y+1/2,z+1/2'
loop_
_atom_site_label
_atom_site_type_symbol
_atom_site_fract_x
_atom_site_fract_y
_atom_site_fract_z
_atom_site_occupancy
Rb1 Rb 0.000 0.158 0.250 1
Li1 Li 0.000 0.190 0.750 1
Y1 Y 0.000 0.500 0.000 1
Cl1 Cl 0.000 0.428 0.250 1
Cl2 Cl 0.099 0.301 0.604 1
Cl3 Cl 0.196 0.065 0.918 1

Entry 8:
# Rb2LiYCl6, relaxed, DFT GGA-PBE
# M_tot   0.00 μB per cell
# Raw total energy   -169.41 eV for the cell shown
# Raw formation energy   -2.096 eV per atom
data_Rb2LiYCl6
_symmetry_space_group_name_H-M 'F m -3 m'
_symmetry_Int_Tables_number 225
_symmetry_space_group_name_Hall '-F 4 2 3'
_cell_length_a 10.476
_cell_length_b 10.476
_cell_length_c 10.476
_cell_angle_alpha 90.00
_cell_angle_beta 90.00
_cell_angle_gamma 90.00
loop_
_atom_site_label
_atom_site_type_symbol
_atom_site_fract_x
_atom_site_fract_y
_atom_site_fract_z
_atom_site_occupancy
Rb1 Rb 0.250 0.250 0.250 1
Li1 Li 0.000 0.000 0.000 1
Y1 Y 0.000 0.000 0.500 1
Cl1 Cl 0.000 0.000 0.248 1